AlFe2Re2 | PBE | optimized geometry

Unit cell a=7.082 b=7.082 c=2.701 alpha=90.00 beta=90.00 gamma=90.00
Positions (direct):
Al: 0.000 0.000 0.000
Al: 0.500 0.500 0.000
Fe: 0.124 0.376 0.000
Fe: 0.376 0.876 0.000
Fe: 0.624 0.124 0.000
Fe: 0.876 0.624 0.000
Re: 0.169 0.669 0.500
Re: 0.331 0.169 0.500
Re: 0.669 0.831 0.500
Re: 0.831 0.331 0.500

Summary:
Symmetry: No. 127

***

Cu2Pd3Au7 | PBE | optimized geometry

Unit cell a=4.944 b=4.944 c=9.013 alpha=99.91 beta=99.91 gamma=109.59
Positions (direct):
Cu: 0.166 0.166 0.334
Cu: 0.834 0.834 0.666
Pd: 0.000 0.000 0.000
Pd: 0.334 0.334 0.660
Pd: 0.666 0.666 0.340
Au: 0.084 0.583 0.172
Au: 0.246 0.754 0.500
Au: 0.417 0.916 0.828
Au: 0.500 0.500 0.000
Au: 0.583 0.084 0.172
Au: 0.754 0.246 0.500
Au: 0.916 0.417 0.828

Summary:
Symmetry: No. 12

***

| no. | formation energy from the elements (eV per atom) |
| --- | --- |
| 1 | 0.1411 |
| 2 | -0.0740 |